A relaxed structure of Cu2IrPt, computed with GGA-PBE.

The structure belongs to space group P4/mmm (No. 123); the cell edges are 2.7164, 2.7164 and 7.4081 Å and the angles 90.00°, 90.00° and 90.00°. The inequivalent atoms are Cu at (0.0000, 0.0000, 0.2471), Ir at (0.5000, 0.5000, 0.0000) and Pt at (0.5000, 0.5000, 0.5000).

Its theoretical density is 15.63 g/cm3. The calculation puts the formation enthalpy at 0 K at 0.066 eV per atom. For the polymorph energy (0 for the lowest one), the calculation gives 42 kJ/mol of formula units. The calculated total energy comes out at -22.828 eV per cell.